Entry 1:
Compound: DyAlGa3
Source: Alexandria
Functional: PBE-GGA
Structure: relaxed

Properties
E_tot in eV per atom: -3.542
Space-group type: Pmma
Fermi-level density of states in states/eV/cell: 6.30
ΔE to the lowest computed polymorph in kcal/mol of atoms: 4.70

a = 2.988 Å, b = 9.500 Å, c = 7.741 Å
α = 90.00°, β = 90.00°, γ = 90.00°
Sites, in units of the cell vectors:
Al 0.500 0.750 0.845
Al 0.500 0.250 0.155
Ga 0.500 0.971 0.654
Dy 0.000 0.750 0.220
Ga 0.500 0.471 0.346
Ga 0.500 0.500 0.000
Dy 0.000 0.250 0.780
Ga 0.500 0.000 0.000
Ga 0.500 0.529 0.654
Ga 0.500 0.029 0.346

Entry 2:
Compound: DyAl3Ga4
Source: Alexandria
Functional: PBE-GGA
Structure: relaxed

Properties
E_tot in eV per atom: -3.549
Space-group type: Immm
Fermi-level density of states in states/eV/cell: 2.85

a = 3.381 Å, b = 6.790 Å, c = 7.962 Å
α = 115.24°, β = 102.26°, γ = 90.00°
Sites, in units of the cell vectors:
Al 0.000 0.500 0.000
Al 0.185 0.185 0.369
Dy 0.500 0.000 0.000
Ga 0.354 0.544 0.707
Al 0.815 0.815 0.631
Ga 0.646 0.456 0.293
Ga 0.354 0.164 0.707
Ga 0.646 0.836 0.293

Entry 3:
Compound: Dy4AlGa2
Source: Alexandria
Functional: PBE-GGA
Structure: relaxed

Properties
E_tot in eV per atom: -4.317
Space-group type: C2/m
Fermi-level density of states in states/eV/cell: 4.93

a = 3.505 Å, b = 8.133 Å, c = 7.822 Å
α = 120.82°, β = 102.95°, γ = 90.00°
Sites, in units of the cell vectors:
Dy 0.621 0.369 0.243
Dy 0.121 0.782 0.243
Dy 0.379 0.631 0.757
Al 0.000 0.000 0.000
Dy 0.879 0.218 0.757
Ga 0.219 0.210 0.439
Ga 0.781 0.790 0.561

Entry 4:
Compound: Dy2AlGa2
Source: Alexandria
Functional: PBE-GGA
Structure: relaxed

Properties
E_tot in eV per atom: -4.365
Space-group type: Immm
Fermi-level density of states in states/eV/cell: 3.44
ΔE to the lowest computed polymorph in kcal/mol of atoms: 0.94

a = 4.113 Å, b = 5.777 Å, c = 5.777 Å
α = 61.54°, β = 69.14°, γ = 69.14°
Sites, in units of the cell vectors:
Dy 0.212 0.288 0.288
Ga 0.500 0.278 0.722
Dy 0.788 0.712 0.712
Al 0.000 0.000 0.000
Ga 0.500 0.722 0.278

Entry 5:
Compound: Dy3Al6Ga5
Source: Alexandria
Functional: PBE-GGA
Structure: relaxed

Properties
E_tot in eV per atom: -4.079
Space-group type: Pmmn
Fermi-level density of states in states/eV/cell: 8.14

a = 4.208 Å, b = 9.951 Å, c = 12.816 Å
α = 90.00°, β = 90.00°, γ = 90.00°
Sites, in units of the cell vectors:
Ga 0.500 0.137 0.836
Ga 0.000 0.863 0.336
Ga 0.000 0.779 0.000
Ga 0.500 0.221 0.500
Dy 0.500 0.752 0.821
Ga 0.000 0.863 0.664
Al 0.500 0.015 0.351
Al 0.500 0.015 0.649
Ga 0.000 0.533 0.134
Al 0.000 0.985 0.149
Al 0.000 0.022 0.500
Dy 0.000 0.248 0.321
Al 0.500 0.540 0.000
Dy 0.500 0.752 0.179
Ga 0.500 0.137 0.164
Al 0.000 0.985 0.851
Al 0.500 0.978 0.000
Ga 0.000 0.533 0.866
Ga 0.500 0.467 0.366
Dy 0.500 0.740 0.500
Ga 0.500 0.467 0.634
Al 0.000 0.610 0.330
Dy 0.000 0.260 0.000
Al 0.500 0.390 0.170
Al 0.500 0.390 0.830
Dy 0.000 0.248 0.679
Al 0.000 0.460 0.500
Al 0.000 0.610 0.670

Entry 6:
Compound: Dy2Al3Ga3
Source: Alexandria
Functional: PBE-GGA
Structure: relaxed

Properties
E_tot in eV per atom: -4.163
Space-group type: Pmmm
Fermi-level density of states in states/eV/cell: 2.31

a = 4.295 Å, b = 4.273 Å, c = 8.434 Å
α = 90.00°, β = 90.00°, γ = 90.00°
Sites, in units of the cell vectors:
Ga 0.000 0.500 0.500
Al 0.500 0.500 0.247
Al 0.500 0.000 0.000
Ga 0.000 0.500 0.000
Dy 0.000 0.000 0.253
Dy 0.000 0.000 0.747
Ga 0.500 0.000 0.500
Al 0.500 0.500 0.753